Entry 1:
A geometry-optimized CsAgSnSe3 structure, computed with PBE-GGA.

Calculated values
- Raw total energy: -85.369 eV/cell
- ΔE to the lowest computed polymorph: 22.7 meV/atom

Geometry as CIF:
```
data_CsAgSnSe3
_space_group_name_H-M_alt 'P n m a'
_space_group_IT_number 62
_space_group_name_Hall '-P 2ac 2n'
_cell_length_a 13.165
_cell_length_b 4.007
_cell_length_c 14.366
_cell_angle_alpha 90.00
_cell_angle_beta 90.00
_cell_angle_gamma 90.00
loop_
_atom_site_label
_atom_site_fract_x
_atom_site_fract_y
_atom_site_fract_z
Cs1 0.249 0.250 0.031
Ag1 0.156 0.250 0.753
Sn1 0.053 0.250 0.271
Se1 0.021 0.250 0.614
Se2 0.033 0.750 0.140
Se3 0.241 0.250 0.321
```


Entry 2:
A geometry-optimized Er2PdPt structure, computed with PBE-GGA.

Calculated values
- DFT formation energy: -4.6 eV per formula unit
- Raw total energy: -49.883 eV/cell

Geometry as CIF:
```
data_Er2PdPt
_space_group_name_H-M_alt 'P m c 21'
_space_group_IT_number 26
_space_group_name_Hall 'P 2c -2'
_cell_length_a 4.535
_cell_length_b 5.478
_cell_length_c 6.952
_cell_angle_alpha 90.00
_cell_angle_beta 90.00
_cell_angle_gamma 90.00
loop_
_atom_site_label
_atom_site_fract_x
_atom_site_fract_y
_atom_site_fract_z
Er1 0.000 0.100 0.000
Er2 0.500 0.391 0.633
Pd1 0.000 0.412 0.358
Pt1 0.500 0.098 0.273
```